A.
First-principles (PBE-GGA) data for a relaxed Si2BiH crystal, as listed in the Alexandria database.

space group	Fm-3m (225)

Lattice parameters (Å, degrees): 4.749 4.749 4.749 60.00 60.00 60.00
Positions (direct):
Bi (0.500, 0.500, 0.500)
Si (0.750, 0.750, 0.750)
Si (0.250, 0.250, 0.250)
H (0.000, 0.000, 0.000)

***

B.
First-principles (PBE-GGA) data for a relaxed Si2BiH crystal, as listed in the Alexandria database.

space group	I-42d (122)

Lattice parameters (Å, degrees): 4.851 4.851 7.262 70.49 70.49 90.00
Positions (direct):
Si (0.875, 0.560, 0.750)
Bi (0.750, 0.250, 0.500)
Si (0.440, 0.625, 0.250)
H (0.500, 0.500, 0.000)
Si (0.375, 0.690, 0.750)
H (0.250, 0.750, 0.500)
Si (0.310, 0.125, 0.250)
Bi (0.000, 0.000, 0.000)

***

Stability verdict: B, ahead by 37.5 kJ/mol of atoms

***

A.
First-principles (PBE-GGA) data for a relaxed Si3BiH crystal, as listed in the Alexandria database.

space group	Pm-3m (221)

Lattice parameters (Å, degrees): 4.363 4.363 4.363 90.00 90.00 90.00
Positions (direct):
Bi (0.500, 0.500, 0.500)
Si (0.500, 0.000, 0.000)
H (0.000, 0.000, 0.000)
Si (0.000, 0.000, 0.500)
Si (0.000, 0.500, 0.000)

***

B.
First-principles (PBE-GGA) data for a relaxed Si3BiH crystal, as listed in the Alexandria database.

space group	Pm-3m (221)

Lattice parameters (Å, degrees): 5.543 5.543 5.543 90.00 90.00 90.00
Positions (direct):
Bi (0.000, 0.000, 0.000)
Si (0.500, 0.000, 0.000)
Si (0.000, 0.000, 0.500)
Si (0.000, 0.500, 0.000)
H (0.500, 0.500, 0.500)

***

Stability verdict: A, ahead by 116.7 kJ/mol of atoms

***

A.
First-principles (PBE-GGA) data for a relaxed Sm2BiH2 crystal, as listed in the Alexandria database.

space group	Fddd (70)

Lattice parameters (Å, degrees): 6.110 6.110 6.604 105.45 105.45 115.11
Positions (direct):
Sm (0.443, 0.057, 0.250)
Bi (0.125, 0.375, 0.250)
Sm (0.807, 0.693, 0.250)
H (0.496, 0.246, 0.991)
Bi (0.875, 0.625, 0.750)
H (0.746, 0.996, 0.491)
H (0.504, 0.754, 0.009)
Sm (0.193, 0.307, 0.750)
Sm (0.557, 0.943, 0.750)
H (0.254, 0.004, 0.509)

***

B.
First-principles (PBE-GGA) data for a relaxed Sm2BiH2 crystal, as listed in the Alexandria database.

space group	I4/mmm (139)

Lattice parameters (Å, degrees): 4.038 4.038 6.606 107.80 107.80 90.00
Positions (direct):
Sm (0.351, 0.351, 0.702)
H (0.250, 0.750, 0.500)
Sm (0.649, 0.649, 0.298)
Bi (0.000, 0.000, 0.000)
H (0.750, 0.250, 0.500)

***

Stability verdict: B, ahead by 3.4 kJ/mol of atoms

***

A.
First-principles (PBE-GGA) data for a relaxed Sm3BiH crystal, as listed in the Alexandria database.

space group	P2_1 (4)

Lattice parameters (Å, degrees): 4.697 6.850 8.609 90.00 74.31 90.00
Positions (direct):
Sm (0.025, 0.390, 0.667)
Sm (0.231, 0.899, 0.253)
Sm (0.413, 0.159, 0.895)
H (0.914, 0.197, 0.893)
H (0.112, 0.697, 0.492)
Sm (0.795, 0.399, 0.133)
Bi (0.621, 0.134, 0.475)
Bi (0.405, 0.634, 0.910)
Sm (0.001, 0.890, 0.718)
Sm (0.613, 0.659, 0.491)

***

B.
First-principles (PBE-GGA) data for a relaxed Sm3BiH crystal, as listed in the Alexandria database.

space group	Pm-3m (221)

Lattice parameters (Å, degrees): 4.948 4.948 4.948 90.00 90.00 90.00
Positions (direct):
Sm (0.000, 0.500, 0.000)
Sm (0.500, 0.000, 0.000)
H (0.000, 0.000, 0.000)
Sm (0.000, 0.000, 0.500)
Bi (0.500, 0.500, 0.500)

***

Stability verdict: B, ahead by 11.7 kJ/mol of atoms

***

A.
First-principles (PBE-GGA) data for a relaxed SnBi2H2 crystal, as listed in the Alexandria database.

space group	P4/mbm (127)

Lattice parameters (Å, degrees): 6.879 6.879 4.573 90.00 90.00 90.00
Positions (direct):
Bi (0.828, 0.328, 0.500)
Bi (0.672, 0.828, 0.500)
Bi (0.172, 0.672, 0.500)
Sn (0.500, 0.500, 0.000)
Sn (0.000, 0.000, 0.000)
H (0.182, 0.682, 0.000)
Bi (0.328, 0.172, 0.500)
H (0.318, 0.182, 0.000)
H (0.682, 0.818, 0.000)
H (0.818, 0.318, 0.000)

***

B.
First-principles (PBE-GGA) data for a relaxed SnBi2H2 crystal, as listed in the Alexandria database.

space group	I4/mmm (139)

Lattice parameters (Å, degrees): 3.884 3.884 7.074 74.07 74.07 90.00
Positions (direct):
Bi (0.640, 0.640, 0.720)
H (0.750, 0.250, 0.500)
Sn (0.000, 0.000, 0.000)
H (0.250, 0.750, 0.500)
Bi (0.360, 0.360, 0.280)

***

Stability verdict: A, ahead by 2.9 kJ/mol of atoms

***

A.
First-principles (PBE-GGA) data for a relaxed SnBiH3 crystal, as listed in the Alexandria database.

space group	Pm-3m (221)

Lattice parameters (Å, degrees): 4.135 4.135 4.135 90.00 90.00 90.00
Positions (direct):
H (0.000, 0.000, 0.500)
Bi (0.500, 0.500, 0.500)
H (0.000, 0.500, 0.000)
Sn (0.000, 0.000, 0.000)
H (0.500, 0.000, 0.000)

***

B.
First-principles (PBE-GGA) data for a relaxed SnBiH3 crystal, as listed in the Alexandria database.

space group	Pm-3m (221)

Lattice parameters (Å, degrees): 4.279 4.279 4.279 90.00 90.00 90.00
Positions (direct):
H (0.000, 0.000, 0.500)
H (0.000, 0.500, 0.000)
H (0.500, 0.000, 0.000)
Bi (0.000, 0.000, 0.000)
Sn (0.500, 0.500, 0.500)

***

Stability verdict: A, ahead by 4.8 kJ/mol of atoms

***

A.
First-principles (PBE-GGA) data for a relaxed SnBi3H crystal, as listed in the Alexandria database.

space group	P-1 (2)

Lattice parameters (Å, degrees): 9.554 9.263 5.081 84.35 83.95 44.55
Positions (direct):
Bi (0.394, 0.429, 0.552)
Bi (0.250, 0.246, 0.115)
Bi (0.975, 0.871, 0.502)
Sn (0.920, 0.408, 0.535)
H (0.948, 0.802, 0.193)
Bi (0.118, 0.054, 0.939)
Bi (0.772, 0.761, 0.857)
H (0.421, 0.498, 0.861)
Sn (0.448, 0.892, 0.520)
Bi (0.596, 0.539, 0.198)

***

B.
First-principles (PBE-GGA) data for a relaxed SnBi3H crystal, as listed in the Alexandria database.

space group	Pm-3m (221)

Lattice parameters (Å, degrees): 5.893 5.893 5.893 90.00 90.00 90.00
Positions (direct):
Bi (0.000, 0.500, 0.000)
Bi (0.000, 0.000, 0.500)
H (0.500, 0.500, 0.500)
Sn (0.000, 0.000, 0.000)
Bi (0.500, 0.000, 0.000)

***

C.
First-principles (PBE-GGA) data for a relaxed SnBi3H crystal, as listed in the Alexandria database.

space group	Pm-3m (221)

Lattice parameters (Å, degrees): 5.019 5.019 5.019 90.00 90.00 90.00
Positions (direct):
Sn (0.500, 0.500, 0.500)
Bi (0.000, 0.000, 0.500)
Bi (0.500, 0.000, 0.000)
H (0.000, 0.000, 0.000)
Bi (0.000, 0.500, 0.000)

***

Stability verdict: A, ahead by 15.9 kJ/mol of atoms

***

A.
First-principles (PBE-GGA) data for a relaxed Sr2BiH2 crystal, as listed in the Alexandria database.

space group	P4/mbm (127)

Lattice parameters (Å, degrees): 8.153 8.153 3.405 90.00 90.00 90.00
Positions (direct):
H (0.404, 0.904, 0.000)
Sr (0.149, 0.649, 0.500)
Sr (0.649, 0.851, 0.500)
Bi (0.000, 0.000, 0.000)
H (0.596, 0.096, 0.000)
Sr (0.351, 0.149, 0.500)
Bi (0.500, 0.500, 0.000)
H (0.096, 0.404, 0.000)
H (0.904, 0.596, 0.000)
Sr (0.851, 0.351, 0.500)

***

B.
First-principles (PBE-GGA) data for a relaxed Sr2BiH2 crystal, as listed in the Alexandria database.

space group	P4/mmm (123)

Lattice parameters (Å, degrees): 3.930 3.930 7.708 90.00 90.00 90.00
Positions (direct):
Sr (0.500, 0.500, 0.289)
H (0.500, 0.000, 0.500)
H (0.000, 0.500, 0.500)
Bi (0.000, 0.000, 0.000)
Sr (0.500, 0.500, 0.711)

***

C.
First-principles (PBE-GGA) data for a relaxed Sr2BiH2 crystal, as listed in the Alexandria database.

space group	I4/mmm (139)

Lattice parameters (Å, degrees): 4.069 4.069 7.686 74.65 74.65 90.00
Positions (direct):
Sr (0.347, 0.347, 0.305)
Bi (0.000, 0.000, 0.000)
H (0.250, 0.750, 0.500)
Sr (0.653, 0.653, 0.695)
H (0.750, 0.250, 0.500)

***

Stability verdict: C, ahead by 14.9 kJ/mol of atoms

***

A.
First-principles (PBE-GGA) data for a relaxed Sr3Bi2H crystal, as listed in the Alexandria database.

space group	C2/c (15)

Lattice parameters (Å, degrees): 6.855 9.520 7.316 104.02 117.93 90.00
Positions (direct):
Sr (0.273, 0.665, 0.284)
Sr (0.989, 0.835, 0.716)
Bi (0.771, 0.512, 0.286)
Bi (0.485, 0.988, 0.714)
Sr (0.011, 0.165, 0.284)
Sr (0.355, 0.250, 0.000)
Sr (0.727, 0.335, 0.716)
H (0.014, 0.250, 0.000)
Sr (0.645, 0.750, 0.000)
Bi (0.515, 0.012, 0.286)
H (0.986, 0.750, 0.000)
Bi (0.229, 0.488, 0.714)

***

B.
First-principles (PBE-GGA) data for a relaxed Sr3Bi2H crystal, as listed in the Alexandria database.

space group	Pnma (62)

Lattice parameters (Å, degrees): 4.308 9.819 19.056 90.00 90.00 90.00
Positions (direct):
H (0.250, 0.858, 0.864)
Bi (0.250, 0.922, 0.282)
Sr (0.750, 0.976, 0.894)
H (0.750, 0.642, 0.364)
Bi (0.250, 0.747, 0.545)
H (0.750, 0.142, 0.136)
Bi (0.750, 0.578, 0.782)
Sr (0.250, 0.314, 0.774)
Bi (0.250, 0.247, 0.955)
Bi (0.250, 0.422, 0.218)
Sr (0.250, 0.024, 0.106)
Sr (0.750, 0.686, 0.226)
Sr (0.750, 0.186, 0.274)
Sr (0.250, 0.119, 0.580)
Sr (0.250, 0.814, 0.726)
H (0.250, 0.358, 0.636)
Sr (0.750, 0.381, 0.080)
Bi (0.750, 0.253, 0.455)
Sr (0.250, 0.524, 0.394)
Bi (0.750, 0.078, 0.718)
Sr (0.750, 0.476, 0.606)
Bi (0.750, 0.753, 0.045)
Sr (0.750, 0.881, 0.420)
Sr (0.250, 0.619, 0.920)

***

Stability verdict: B, ahead by 8.1 kJ/mol of atoms

***

A.
First-principles (PBE-GGA) data for a relaxed TaBiH2 crystal, as listed in the Alexandria database.

space group	I-42d (122)

Lattice parameters (Å, degrees): 6.035 6.035 5.176 54.34 54.34 90.00
Positions (direct):
Bi (0.000, 0.000, 0.000)
H (0.375, 0.481, 0.750)
Ta (0.250, 0.750, 0.500)
H (0.519, 0.125, 0.250)
H (0.231, 0.625, 0.250)
Bi (0.750, 0.250, 0.500)
Ta (0.500, 0.500, 0.000)
H (0.875, 0.769, 0.750)

***

B.
First-principles (PBE-GGA) data for a relaxed TaBiH2 crystal, as listed in the Alexandria database.

space group	Fm-3m (225)

Lattice parameters (Å, degrees): 4.244 4.244 4.244 60.00 60.00 60.00
Positions (direct):
H (0.750, 0.750, 0.750)
Bi (0.500, 0.500, 0.500)
Ta (0.000, 0.000, 0.000)
H (0.250, 0.250, 0.250)

***

Stability verdict: A, ahead by 84.3 kJ/mol of atoms

***

A.
First-principles (PBE-GGA) data for a relaxed TaBi2H crystal, as listed in the Alexandria database.

space group	I-42d (122)

Lattice parameters (Å, degrees): 6.830 6.830 5.964 55.07 55.07 90.00
Positions (direct):
H (0.500, 0.500, 0.000)
Ta (0.000, 0.000, 0.000)
Ta (0.750, 0.250, 0.500)
Bi (0.875, 0.796, 0.750)
Bi (0.204, 0.625, 0.250)
H (0.250, 0.750, 0.500)
Bi (0.546, 0.125, 0.250)
Bi (0.375, 0.454, 0.750)

***

B.
First-principles (PBE-GGA) data for a relaxed TaBi2H crystal, as listed in the Alexandria database.

space group	Fm-3m (225)

Lattice parameters (Å, degrees): 4.962 4.962 4.962 60.00 60.00 60.00
Positions (direct):
H (0.000, 0.000, 0.000)
Bi (0.250, 0.250, 0.250)
Ta (0.500, 0.500, 0.500)
Bi (0.750, 0.750, 0.750)

***

Stability verdict: A, ahead by 12.7 kJ/mol of atoms

***

A.
First-principles (PBE-GGA) data for a relaxed TaBiH3 crystal, as listed in the Alexandria database.

space group	Pm-3m (221)

Lattice parameters (Å, degrees): 4.046 4.046 4.046 90.00 90.00 90.00
Positions (direct):
Ta (0.500, 0.500, 0.500)
H (0.000, 0.500, 0.000)
H (0.000, 0.000, 0.500)
H (0.500, 0.000, 0.000)
Bi (0.000, 0.000, 0.000)

***

B.
First-principles (PBE-GGA) data for a relaxed TaBiH3 crystal, as listed in the Alexandria database.

space group	Pm-3m (221)

Lattice parameters (Å, degrees): 3.830 3.830 3.830 90.00 90.00 90.00
Positions (direct):
H (0.500, 0.000, 0.000)
H (0.000, 0.500, 0.000)
Ta (0.000, 0.000, 0.000)
H (0.000, 0.000, 0.500)
Bi (0.500, 0.500, 0.500)

***

Stability verdict: B, ahead by 111.6 kJ/mol of atoms